# CuAg2BPt GGA-PBE relaxed
data_CuAg2BPt
_chemical_formula_sum 'Cu1 Ag2 B1 Pt1'
_cell_length_a 4.352
_cell_length_b 4.083
_cell_length_c 4.352
_cell_angle_alpha 90.00
_cell_angle_beta 90.00
_cell_angle_gamma 90.00
_symmetry_space_group_name_H-M 'P 1'
_symmetry_Int_Tables_number 1
_symmetry_space_group_name_Hall 'P 1'
loop_
_atom_site_label
_atom_site_type_symbol
_atom_site_fract_x
_atom_site_fract_y
_atom_site_fract_z
Ag1 Ag 0.000 0.000 0.500
Ag2 Ag 0.500 0.000 0.000
B1 B 0.000 0.000 0.000
Pt1 Pt 0.000 0.500 0.000
Cu1 Cu 0.500 0.500 0.500
# Total moment: 0.000 μB per cell
# Energy of formation from the pure elements: 28.1 kJ per mole of atoms